Crystalline Pm3AlGe at its relaxed geometry. Source: Alexandria via LeMat-Bulk, functional PBE-GGA.

a = 4.6016 Å, b = 6.2344 Å, c = 11.0329 Å
α = 90.00°, β = 90.00°, γ = 111.66°
Element x y z (fractional)
Pm 0.9175 0.8350 0.2500
Pm 0.0825 0.1650 0.7500
Pm 0.6515 0.3031 0.4366
Pm 0.3485 0.6969 0.9366
Pm 0.6515 0.3031 0.0634
Pm 0.3485 0.6969 0.5634
Al 0.2259 0.4518 0.2500
Al 0.7741 0.5482 0.7500
Ge 0.0000 0.0000 0.5000
Ge 0.0000 0.0000 0.0000

Values from the calculation:
* density of states at the Fermi level: 1.077 states/eV per atom
* crystal system: orthorhombic
* volume: 29.42 Å³/atom
* DFT formation energy: -195.0 kJ/mol of formula units